Record 1
Computed, not measured: an optimized crystal structure of SmGdYPu at the PBE level of DFT.

Results
Density   8.37 g cm⁻³
Crystal system   cubic
Space-group type   F-43m, No. 216

Cell lengths 5.642, 5.642, 5.642 Å; angles 60.00, 60.00, 60.00 degrees
Site moments in Bohr magnetons follow the coordinates.
Atoms (fractional coordinates):
Y 0.250 0.250 0.250  0.23
Gd 0.500 0.500 0.500  -6.85
Sm 0.000 0.000 0.000  0.27
Pu 0.750 0.750 0.750  5.62


Record 2
Computed, not measured: an optimized crystal structure of GdPuTlSn at the PBE level of DFT.

Results
Density   10.88 g cm⁻³
Crystal system   cubic
Space-group type   F-43m, No. 216

Cell lengths 5.388, 5.388, 5.388 Å; angles 60.00, 60.00, 60.00 degrees
Site moments in Bohr magnetons follow the coordinates.
Atoms (fractional coordinates):
Tl 0.000 0.000 0.000  0.01
Gd 0.750 0.750 0.750  7.23
Sn 0.500 0.500 0.500  -0.05
Pu 0.250 0.250 0.250  5.51


Record 3
Computed, not measured: an optimized crystal structure of GdPuZnSn at the PBE level of DFT.

Results
Density   9.48 g cm⁻³
Crystal system   cubic
Space-group type   F-43m, No. 216

Cell lengths 5.254, 5.254, 5.254 Å; angles 60.00, 60.00, 60.00 degrees
Site moments in Bohr magnetons follow the coordinates.
Atoms (fractional coordinates):
Zn 0.750 0.750 0.750  0.04
Gd 0.500 0.500 0.500  7.30
Sn 0.250 0.250 0.250  -0.07
Pu 0.000 0.000 0.000  5.54


Record 4
Computed, not measured: an optimized crystal structure of Gd2PuTa at the PBE level of DFT.

Results
Density   11.76 g cm⁻³
Crystal system   trigonal
Space-group type   R-3m, No. 166

Cell lengths 3.227, 3.227, 11.721 Å; angles 82.09, 82.09, 60.00 degrees
Site moments in Bohr magnetons follow the coordinates.
Atoms (fractional coordinates):
Gd 0.085 0.085 0.745  7.20
Gd 0.915 0.915 0.255  7.20
Ta 0.000 0.000 0.000  0.05
Pu 0.500 0.500 0.500  -5.43


Record 5
Computed, not measured: an optimized crystal structure of TbGdPu2 at the PBE level of DFT.

Results
Density   11.42 g cm⁻³
Crystal system   tetragonal
Excess energy over the best structure of this formula in the dataset   0 meV/atom
Space-group type   P4/mmm, No. 123

Cell lengths 3.969, 3.969, 7.424 Å; angles 90.00, 90.00, 90.00 degrees
Site moments in Bohr magnetons follow the coordinates.
Atoms (fractional coordinates):
Gd 0.500 0.500 0.000  -6.76
Tb 0.500 0.500 0.500  0.41
Pu 0.000 0.000 0.750  5.58
Pu 0.000 0.000 0.250  5.58


Record 6
Computed, not measured: an optimized crystal structure of TbGdPu at the PBE level of DFT.

Results
Density   10.21 g cm⁻³
Crystal system   tetragonal
Space-group type   I4mm, No. 107

Cell lengths 3.516, 3.516, 7.781 Å; angles 103.06, 103.06, 90.00 degrees
Site moments in Bohr magnetons follow the coordinates.
Atoms (fractional coordinates):
Gd 0.998 0.998 0.995  7.11
Tb 0.669 0.669 0.338  -0.03
Pu 0.333 0.333 0.666  -5.64


Record 7
Computed, not measured: an optimized crystal structure of TbGdPu2 at the PBE level of DFT.

Results
Density   11.24 g cm⁻³
Crystal system   cubic
Excess energy over the best structure of this formula in the dataset   16 meV/atom
Space-group type   Fm-3m, No. 225

Cell lengths 5.517, 5.517, 5.517 Å; angles 60.00, 60.00, 60.00 degrees
Site moments in Bohr magnetons follow the coordinates.
Atoms (fractional coordinates):
Gd 0.500 0.500 0.500  7.39
Tb 0.000 0.000 0.000  0.28
Pu 0.250 0.250 0.250  5.57
Pu 0.750 0.750 0.750  5.57


Record 8
Computed, not measured: an optimized crystal structure of TbGdPuTl at the PBE level of DFT.

Results
Density   11.12 g cm⁻³
Crystal system   cubic
Space-group type   F-43m, No. 216

Cell lengths 5.445, 5.445, 5.445 Å; angles 60.00, 60.00, 60.00 degrees
Site moments in Bohr magnetons follow the coordinates.
Atoms (fractional coordinates):
Tl 0.000 0.000 0.000  -0.06
Gd 0.750 0.750 0.750  7.45
Tb 0.250 0.250 0.250  0.42
Pu 0.500 0.500 0.500  5.83


Record 9
Computed, not measured: an optimized crystal structure of GdPuTc at the PBE level of DFT.

Results
Density   11.95 g cm⁻³
Crystal system   tetragonal
Excess energy over the best structure of this formula in the dataset   0 meV/atom
Space-group type   I4mm, No. 107

Cell lengths 3.392, 3.392, 6.488 Å; angles 105.15, 105.15, 90.00 degrees
Site moments in Bohr magnetons follow the coordinates.
Atoms (fractional coordinates):
Gd 0.312 0.312 0.625  -7.23
Tc 0.658 0.658 0.315  0.61
Pu 0.030 0.030 0.060  -5.14


Record 10
Computed, not measured: an optimized crystal structure of GdPu2Tc at the PBE level of DFT.

Results
Density   11.61 g cm⁻³
Crystal system   trigonal
Excess energy over the best structure of this formula in the dataset   204 meV/atom
Space-group type   R-3m, No. 166

Cell lengths 3.808, 3.808, 8.747 Å; angles 77.43, 77.43, 60.00 degrees
Site moments in Bohr magnetons follow the coordinates.
Atoms (fractional coordinates):
Gd 0.500 0.500 0.500  7.46
Tc 0.000 0.000 0.000  -0.80
Pu 0.272 0.272 0.184  5.06
Pu 0.728 0.728 0.816  5.06


Record 11
Computed, not measured: an optimized crystal structure of GdPuTc at the PBE level of DFT.

Results
Density   12.34 g cm⁻³
Crystal system   hexagonal
Excess energy over the best structure of this formula in the dataset   61 meV/atom
Space-group type   P-6m2, No. 187

Cell lengths 3.569, 4.663, 4.663 Å; angles 120.00, 90.00, 90.00 degrees
Site moments in Bohr magnetons follow the coordinates.
Atoms (fractional coordinates):
Gd 0.667 0.333 0.667  6.76
Tc 0.166 0.667 0.333  0.38
Pu 0.167 0.000 0.000  -5.17


Record 12
Computed, not measured: an optimized crystal structure of GdPu2Tc at the PBE level of DFT.

Results
Density   12.77 g cm⁻³
Crystal system   tetragonal
Excess energy over the best structure of this formula in the dataset   0 meV/atom
Space-group type   P4/mmm, No. 123

Cell lengths 3.338, 3.338, 8.673 Å; angles 90.00, 90.00, 90.00 degrees
Site moments in Bohr magnetons follow the coordinates.
Atoms (fractional coordinates):
Gd 0.500 0.500 0.500  7.29
Tc 0.500 0.500 0.000  -0.72
Pu 0.000 0.000 0.801  5.19
Pu 0.000 0.000 0.199  5.19


Sequential final energy output: -38.778; -36.117; -35.123; -51.866; -46.309; -32.730; -46.246; -35.339; -38.680; -51.872; -38.498; -52.687 eV/cell